Compound: AgSbPt
Source: the Open Quantum Materials Database
Functional: GGA-PBE
Structure: optimized geometry

Cell lengths 4.4970, 4.4970, 4.4970 Å; angles 60.00, 60.00, 60.00 degrees
Closest atoms and distances in Å follow each position.
Positions (direct):
Ag 0.0000 0.0000 0.0000  4 Sb 2.75
Sb 0.2500 0.2500 0.2500  4 Pt 2.75, 4 Ag 2.75
Pt 0.5000 0.5000 0.5000  4 Sb 2.75

calculated volume: 21.44 Å³/atom
total DFT energy (no corrections): -4.341 eV/atom

Compound: DyBeOs
Source: the Open Quantum Materials Database
Functional: GGA-PBE
Structure: optimized geometry

Cell lengths 4.1949, 4.1949, 4.1949 Å; angles 60.00, 60.00, 60.00 degrees
Closest atoms and distances in Å follow each position.
Positions (direct):
Dy 0.0000 0.0000 0.0000  4 Be 2.57
Be 0.2500 0.2500 0.2500  4 Dy 2.57, 4 Os 2.57
Os 0.5000 0.5000 0.5000  4 Be 2.57

E above lowest polymorph: 0.0000 eV per atom
calculated volume: 17.40 Å³/atom

Compound: MgAlIrPb
Source: the Open Quantum Materials Database
Functional: GGA-PBE
Structure: optimized geometry

Cell lengths 4.7024, 4.7024, 4.7024 Å; angles 60.00, 60.00, 60.00 degrees
Closest atoms and distances in Å follow each position.
Positions (direct):
Mg 0.0000 0.0000 0.0000  4 Pb 2.88, 4 Al 2.88
Al 0.7500 0.7500 0.7500  4 Mg 2.88, 4 Ir 2.88
Ir 0.5000 0.5000 0.5000  4 Pb 2.88, 4 Al 2.88
Pb 0.2500 0.2500 0.2500  4 Mg 2.88, 4 Ir 2.88

E above lowest polymorph: 0.0000 eV per atom
calculated volume: 18.38 Å³/atom

Which magnetization belongs to each record? In order, 0.0; 0.0; 0.0 μB/f.u..